BeAg2: optimized geometry, PBE.

Lattice parameters (Å, degrees): 6.0865 6.0865 2.7555 90.00 90.00 90.00
Space group P4_2/mnm (No. 136)
Inequivalent atoms, fractional coordinates:
Be1 0.0000 0.0000 0.0000 [2 per cell]
Ag1 0.2286 0.2286 0.5000 [4 per cell]

Summary:
Formation enthalpy at 0 K   0.391 eV per atom
Mass density   7.3 Mg/m³
Electronic total energy   -0.20224 Ry per atom
Spin magnetization   0.00 μB per cell